(1)
Density functional theory data (GGA-PBE) for crystalline SnTeRu3 at its relaxed geometry.

## Properties
- DFT total energy (eV/cell) = -28.5
- space-group type = Pm-3m, No. 221
- energy relative to the lowest polymorph listed for this composition (eV per atom) = 0.000
- formation energy (no corrections) (eV per atom) = 1.3002

Lattice parameters (Å, degrees): 4.811 4.811 4.811 90.00 90.00 90.00
Fractional positions:
Te 0.000 0.000 0.000
Ru 0.000 0.000 0.500
Ru 0.500 0.000 0.000
Ru 0.000 0.500 0.000
Sn 0.500 0.500 0.500

=====

(2)
Density functional theory data (GGA-PBE) for crystalline GdYIrPb at its relaxed geometry.

## Properties
- formation energy from the elements (meV/atom) = -474
- DFT total energy (eV/cell) = -35.0
- space-group type = F-43m, No. 216

Lattice parameters (Å, degrees): 5.164 5.164 5.164 60.00 60.00 60.00
Last column: magnetic moment on the atom in μB.
Fractional positions:
Y 0.750 0.750 0.750  0.01
Ir 0.000 0.000 0.000  -0.04
Pb 0.500 0.500 0.500  -0.01
Gd 0.250 0.250 0.250  6.99